(1)
Density functional theory data (PBE) for crystalline YBe2Fe at its relaxed geometry.

Structure (POSCAR):
```
YBe2Fe
1.0
-1.5368 -0.9846 -4.2694
-4.4913 -1.0316 0.5681
2.3392 3.7338 1.4650
Be Y Fe
2 1 1
Cartesian
-2.5831 0.8470 0.0912
0.0000 0.0000 0.0000
-1.1058 0.8705 -2.3276
-3.0140 -1.0081 -1.8507
```

Summary:
E_form: 431 meV/atom
Spin magnetization: 2.095 μB per formula unit


(2)
Density functional theory data (PBE) for crystalline YBe2Fe2 at its relaxed geometry.

Structure (POSCAR):
```
YBe2Fe2
1.0
-6.8896 1.2951 0.6896
-1.4344 -6.6421 -1.8559
0.1144 -0.7239 2.5023
Fe Be Y
4 4 2
Cartesian
-1.3693 -2.3723 -0.6237
-6.9547 -2.9747 -0.5426
-4.4398 0.0084 0.2054
-3.8842 -5.3554 -1.3717
-6.1695 -1.5014 1.2062
-5.7264 -5.0405 0.1621
-2.4831 -1.0303 1.1739
-2.0401 -4.5695 0.1298
-4.1620 -2.6735 -0.5831
0.0000 0.0000 0.0000
```

Summary:
E_form: 159 meV/atom
Spin magnetization: 3.423 μB per formula unit


(3)
Density functional theory data (PBE) for crystalline YBeFe3 at its relaxed geometry.

Structure (POSCAR):
```
YBeFe3
1.0
4.6537 0.0000 0.0000
0.0000 4.6537 0.0000
0.0000 0.0000 4.6537
Be Fe Y
1 3 1
Cartesian
2.3268 2.3268 2.3268
2.3268 0.0000 0.0000
0.0000 2.3268 0.0000
0.0000 0.0000 2.3268
0.0000 0.0000 0.0000
```

Summary:
E_form: 2110 meV/atom
Spin magnetization: 6.298 μB per formula unit


(4)
Density functional theory data (PBE) for crystalline YBe2Fe2 at its relaxed geometry.

Structure (POSCAR):
```
YBe2Fe2
1.0
-2.6356 -4.6482 3.9476
4.5967 -4.3403 -2.0416
1.7635 0.8455 2.1730
Y Fe Be
2 4 4
Cartesian
0.0000 0.0000 0.0000
0.9805 -4.4943 0.9530
0.7444 -1.8511 2.0828
2.9802 -6.2919 1.9963
3.5002 -3.2145 0.3768
0.2244 -4.9285 3.7022
3.0591 -5.6569 -0.2814
1.4877 -2.2047 -0.3495
-1.0980 -3.3316 2.1875
0.4734 -6.7838 2.2555
```

Summary:
E_form: 152 meV/atom
Spin magnetization: 2.532 μB per formula unit


(5)
Density functional theory data (PBE) for crystalline YBe2Fe at its relaxed geometry.

Structure (POSCAR):
```
YBe2Fe
1.0
-0.0351 -1.5041 3.7962
-0.7086 -3.7365 -1.4870
7.1092 -3.8695 0.7288
Fe Be Y
2 4 2
Cartesian
3.0144 -5.1132 0.1982
-0.3718 -2.6203 1.1546
4.8586 -6.5526 2.9393
1.3213 -3.8671 0.6774
4.8758 -5.8024 1.0405
1.6756 -1.9981 1.4190
3.3512 -3.9969 2.8398
0.0000 0.0000 0.0000
```

Summary:
E_form: 235 meV/atom
Spin magnetization: 0.454 μB per formula unit


(6)
Density functional theory data (PBE) for crystalline YBe2Fe at its relaxed geometry.

Structure (POSCAR):
```
YBe2Fe
1.0
-0.3587 -1.6280 -3.5005
-2.5295 -2.5588 1.4492
-3.0016 2.4865 -0.8488
Be Fe Y
2 1 1
Cartesian
-1.4441 -2.0934 -1.0256
0.0000 0.0000 0.0000
-1.6802 0.4293 -2.1746
-2.7656 -0.0361 0.3002
```

Summary:
E_form: 451 meV/atom
Spin magnetization: 1.427 μB per formula unit


- What is the E_form in the second record?
  159 meV/atom


- Which of these has the highest E_form?
  YBeFe3